Material: Tb2SmLu
Method: DFT, PBE-GGA
State: optimized geometry

Lattice parameters (Å, degrees): 5.0113 5.0113 5.0400 90.00 90.00 90.00
Space group P4/mmm (No. 123)
One atom of each set of equivalent atoms:
Tb 0.0000 0.5000 0.0000 (multiplicity 2)
Sm 0.0000 0.0000 0.5000 (multiplicity 1)
Lu 0.5000 0.5000 0.5000 (multiplicity 1)

formation energy from the elements	22	meV/atom
DOS(E_F)	6.03	states/eV/cell
magnetization	0.000	μB/atom
volume	31.6	Å³/atom


Material: CaAlMo2
Method: DFT, PBE-GGA
State: optimized geometry

Lattice parameters (Å, degrees): 3.9658 3.9658 4.6330 90.00 90.00 90.00
Space group P4/mmm (No. 123)
One atom of each set of equivalent atoms:
Ca 0.0000 0.0000 0.0000 (multiplicity 1)
Al 0.5000 0.5000 0.0000 (multiplicity 1)
Mo 0.0000 0.5000 0.5000 (multiplicity 2)

formation energy from the elements	496	meV/atom
DOS(E_F)	2.65	states/eV/cell
magnetization	0.000	μB/atom
volume	18.2	Å³/atom


Material: TlI3
Method: DFT, PBE-GGA
State: optimized geometry

Lattice parameters (Å, degrees): 4.4725 9.6162 7.8582 90.00 90.00 90.00
Space group Imm2 (No. 44)
One atom of each set of equivalent atoms:
Tl 0.0000 0.0000 0.0000 (multiplicity 2)
I 0.0000 0.2333 0.3647 (multiplicity 4)
I 0.0000 0.5000 0.1041 (multiplicity 2)

DOS(E_F)	6.98	states/eV/cell
magnetization	0.000	μB/atom
volume	42.2	Å³/atom
uncorrected formation energy	-0.106	eV per atom